## w
The following is a PBE-GGA calculation of a relaxed structure of Li5Mg4Ag2, from the Alexandria database.

Lattice parameters (Å, degrees): 3.0396 7.3854 9.7749 93.29 90.00 90.00
Element x y z (fractional)
1 Li 0.0000 0.5653 0.3008
2 Li 0.0000 0.2009 0.1655
3 Li 0.0000 0.5000 0.0000
4 Li 0.0000 0.7991 0.8345
5 Li 0.0000 0.4347 0.6992
6 Mg 0.5000 0.7402 0.5536
7 Mg 0.5000 0.1614 0.8876
8 Mg 0.5000 0.2598 0.4464
9 Mg 0.5000 0.8386 0.1124
10 Ag 0.0000 0.0631 0.6463
11 Ag 0.0000 0.9369 0.3537

=====

## x
The following is a PBE-GGA calculation of a relaxed structure of Li5Mg4Ag2, from the Alexandria database.

Lattice parameters (Å, degrees): 3.3273 7.5791 10.0494 122.23 99.53 90.00
Element x y z (fractional)
1 Li 0.1324 0.0632 0.2647
2 Li 0.8676 0.9368 0.7353
3 Li 0.2312 0.8276 0.4625
4 Li 0.5000 0.0000 0.0000
5 Li 0.7688 0.1724 0.5375
6 Mg 0.6760 0.4446 0.3520
7 Mg 0.0310 0.3567 0.0620
8 Mg 0.3240 0.5554 0.6480
9 Mg 0.9690 0.6433 0.9380
10 Ag 0.6046 0.7320 0.2092
11 Ag 0.3954 0.2680 0.7908

=====

Computed stability ranking, most favorable first: x, w

=====

## w
The following is a PBE-GGA calculation of a relaxed structure of Sr2LiMgAg, from the Alexandria database.

Lattice parameters (Å, degrees): 6.1585 6.1585 4.9186 90.00 90.00 90.00
Element x y z (fractional)
1 Sr 0.0000 0.5000 0.0000
2 Sr 0.5000 0.0000 0.0000
3 Mg 0.5000 0.5000 0.5000
4 Ag 0.0000 0.0000 0.0000
5 Li 0.0000 0.0000 0.5000

=====

## x
The following is a PBE-GGA calculation of a relaxed structure of Sr2LiMgAg, from the Alexandria database.

Lattice parameters (Å, degrees): 6.1375 6.1375 5.2239 90.00 90.00 90.00
Element x y z (fractional)
1 Sr 0.0000 0.5000 0.0000
2 Sr 0.5000 0.0000 0.0000
3 Mg 0.0000 0.0000 0.5000
4 Ag 0.0000 0.0000 0.0000
5 Li 0.5000 0.5000 0.5000

=====

Computed stability ranking, most favorable first: x, w

=====

## w
The following is a PBE-GGA calculation of a relaxed structure of LiMgTlAg, from the Alexandria database.

Lattice parameters (Å, degrees): 3.4338 3.4338 6.7230 90.00 90.00 90.00
Element x y z (fractional)
1 Li 0.0000 0.0000 0.3784
2 Mg 0.0000 0.0000 0.8260
3 Tl 0.5000 0.5000 0.1292
4 Ag 0.5000 0.5000 0.5944

=====

## x
The following is a PBE-GGA calculation of a relaxed structure of LiMgTlAg, from the Alexandria database.

Lattice parameters (Å, degrees): 4.8212 4.8212 4.8212 60.00 60.00 60.00
Element x y z (fractional)
1 Tl 0.7500 0.7500 0.7500
2 Mg 0.0000 0.0000 0.0000
3 Ag 0.2500 0.2500 0.2500
4 Li 0.5000 0.5000 0.5000

=====

Computed stability ranking, most favorable first: w, x

=====

## w
The following is a PBE-GGA calculation of a relaxed structure of LiMnAg, from the Alexandria database.

Lattice parameters (Å, degrees): 4.4014 4.4014 4.4014 60.00 60.00 60.00
Last column: magnetic moment on the atom in μB.
Element x y z (fractional)
1 Ag 0.7500 0.7500 0.7500  0.06
2 Li 0.0000 0.0000 0.0000  -0.02
3 Mn 0.5000 0.5000 0.5000  4.07

=====

## x
The following is a PBE-GGA calculation of a relaxed structure of LiMnAg, from the Alexandria database.

Lattice parameters (Å, degrees): 4.4536 4.4536 2.7800 90.00 90.00 120.00
Last column: magnetic moment on the atom in μB.
Element x y z (fractional)
1 Ag 0.0000 0.0000 0.0494  0.04
2 Li 0.3333 0.6667 0.3197  -0.02
3 Mn 0.6667 0.3333 0.6309  3.84

=====

Computed stability ranking, most favorable first: x, w

=====

## w
The following is a PBE-GGA calculation of a relaxed structure of Li2MnAg2, from the Alexandria database.

Lattice parameters (Å, degrees): 7.2558 7.2558 2.7364 90.00 90.00 90.00
Last column: magnetic moment on the atom in μB.
Element x y z (fractional)
1 Mn 0.0000 0.0000 0.0000  -0.15
2 Mn 0.5000 0.5000 0.0000  -0.15
3 Ag 0.1802 0.6802 0.5000  -0.02
4 Ag 0.6802 0.8198 0.5000  -0.01
5 Ag 0.8198 0.3198 0.5000  -0.02
6 Ag 0.3198 0.1802 0.5000  -0.01
7 Li 0.3779 0.8779 0.0000  0.00
8 Li 0.8779 0.6221 0.0000  0.00
9 Li 0.6221 0.1221 0.0000  0.00
10 Li 0.1221 0.3779 0.0000  0.00

=====

## x
The following is a PBE-GGA calculation of a relaxed structure of Li2MnAg2, from the Alexandria database.

Lattice parameters (Å, degrees): 7.4603 7.4603 2.7164 90.00 90.00 90.00
Last column: magnetic moment on the atom in μB.
Element x y z (fractional)
1 Mn 0.0000 0.0000 0.0000  -0.26
2 Mn 0.5000 0.5000 0.0000  -0.27
3 Ag 0.3590 0.8590 0.0000  0.01
4 Ag 0.8590 0.6410 0.0000  0.00
5 Ag 0.6410 0.1410 0.0000  0.01
6 Ag 0.1410 0.3590 0.0000  0.00
7 Li 0.1606 0.6606 0.5000  0.00
8 Li 0.6606 0.8394 0.5000  0.00
9 Li 0.8394 0.3394 0.5000  0.00
10 Li 0.3394 0.1606 0.5000  0.00

=====

Computed stability ranking, most favorable first: w, x

=====

## w
The following is a PBE-GGA calculation of a relaxed structure of LiAg2Mo, from the Alexandria database.

Lattice parameters (Å, degrees): 7.2510 7.2510 5.8228 51.49 51.49 90.00
Last column: magnetic moment on the atom in μB.
Element x y z (fractional)
1 Mo 0.0000 0.0000 0.0000  2.70
2 Mo 0.7500 0.2500 0.5000  2.70
3 Ag 0.5933 0.1250 0.2500  0.07
4 Ag 0.1567 0.6250 0.2500  0.07
5 Ag 0.3750 0.4067 0.7500  0.08
6 Ag 0.8750 0.8433 0.7500  0.08
7 Li 0.5000 0.5000 0.0000  0.01
8 Li 0.2500 0.7500 0.5000  0.01

=====

## x
The following is a PBE-GGA calculation of a relaxed structure of LiAg2Mo, from the Alexandria database.

Lattice parameters (Å, degrees): 4.1701 2.6761 6.4858 65.75 90.00 90.00
Last column: magnetic moment on the atom in μB.
Element x y z (fractional)
1 Ag 0.0000 0.9996 0.0010  0.00
2 Ag 0.0000 0.5004 0.4990  0.00
3 Li 0.5000 0.2500 0.2500  0.00
4 Mo 0.5000 0.7500 0.7500  0.26

=====

## y
The following is a PBE-GGA calculation of a relaxed structure of LiAg2Mo, from the Alexandria database.

Lattice parameters (Å, degrees): 9.7186 9.7186 9.7186 16.68 16.68 16.68
Element x y z (fractional)
1 Ag 0.9973 0.9973 0.9973
2 Ag 0.5027 0.5027 0.5027
3 Li 0.2500 0.2500 0.2500
4 Mo 0.7500 0.7500 0.7500

=====

Computed stability ranking, most favorable first: y, x, w